Density functional theory data (PBE) for an optimized crystal structure of BeOs4.

Summary:
The crystal system is cubic. As for the energy above the lowest structure with this stoichiometry: 528.0 meV per atom. For the formation energy, the calculation gives 0.75 eV per atom.

Lattice parameters (Å, degrees): 4.070 4.070 4.070 90.00 90.00 90.00
Fractional positions:
1 Os 0.000 0.000 0.000
2 Os 0.000 0.500 0.500
3 Os 0.500 0.000 0.500
4 Os 0.500 0.500 0.000
5 Be 0.500 0.500 0.500

=====

Density functional theory data (PBE) for an optimized crystal structure of KLi2P.

Summary:
The crystal system is monoclinic. For the formation energy, the calculation gives -0.38 eV per atom.

Lattice parameters (Å, degrees): 4.510 4.542 5.979 67.77 90.00 90.00
Fractional positions:
1 K 0.500 0.719 0.689
2 Li 0.000 0.961 0.203
3 Li 0.500 0.427 0.269
4 P 0.000 0.393 0.339

=====

Density functional theory data (PBE) for an optimized crystal structure of BaCuP.

Summary:
The crystal system is hexagonal. For the formation energy, the calculation gives 0.01 eV per atom.

Lattice parameters (Å, degrees): 5.323 5.323 6.416 90.00 90.00 120.00
Fractional positions:
1 Cu 0.000 0.000 0.000
2 Cu 0.000 0.000 0.500
3 Ba 0.667 0.333 0.750
4 Ba 0.333 0.667 0.250
5 P 0.333 0.667 0.750
6 P 0.667 0.333 0.250

=====

Density functional theory data (PBE) for an optimized crystal structure of PtO.

Summary:
The crystal system is orthorhombic. Its energy relative to the elements, uncorrected is 0.096 eV per atom.

Lattice parameters (Å, degrees): 3.929 4.296 9.765 90.00 90.00 90.00
Fractional positions:
1 O 0.500 0.552 0.500
2 O 0.000 0.978 0.654
3 O 0.500 0.022 0.154
4 O 0.000 0.978 0.346
5 O 0.500 0.022 0.846
6 O 0.000 0.448 0.000
7 Pt 0.000 0.692 0.814
8 Pt 0.000 0.692 0.186
9 Pt 0.500 0.343 0.000
10 Pt 0.500 0.308 0.314
11 Pt 0.000 0.657 0.500
12 Pt 0.500 0.308 0.686

=====

Density functional theory data (PBE) for an optimized crystal structure of Cu2MoAu.

Summary:
The crystal system is tetragonal. As for the energy above the lowest structure with this stoichiometry: 0.8 meV per atom. For the formation energy, the calculation gives 0.14 eV per atom.

Lattice parameters (Å, degrees): 2.717 2.717 7.891 90.00 90.00 89.98
Fractional positions:
1 Au 0.500 0.500 0.750
2 Mo 0.500 0.500 0.250
3 Cu 0.000 0.000 0.004
4 Cu 0.000 0.000 0.496

=====

Density functional theory data (PBE) for an optimized crystal structure of Hf6TlGa3.

Summary:
The crystal system is orthorhombic. For the formation energy, the calculation gives -0.28 eV per atom.

Lattice parameters (Å, degrees): 7.412 7.400 7.400 90.05 90.00 90.00
Fractional positions:
1 Ga 0.898 0.882 0.870
2 Ga 0.398 0.118 0.130
3 Ga 0.398 0.870 0.882
4 Ga 0.899 0.629 0.371
5 Ga 0.898 0.130 0.118
6 Ga 0.399 0.371 0.629
7 Hf 0.149 0.314 0.314
8 Hf 0.135 0.834 0.166
9 Hf 0.662 0.834 0.166
10 Hf 0.399 0.497 0.991
11 Hf 0.149 0.686 0.686
12 Hf 0.162 0.166 0.834
13 Hf 0.649 0.314 0.314
14 Hf 0.899 0.503 0.009
15 Hf 0.649 0.686 0.686
16 Hf 0.635 0.166 0.834
17 Hf 0.399 0.009 0.503
18 Hf 0.899 0.991 0.497
19 Tl 0.399 0.630 0.370
20 Tl 0.899 0.370 0.630

=====

Density functional theory data (PBE) for an optimized crystal structure of GaSiPt2.

Summary:
The crystal system is orthorhombic. Its energy relative to the elements, uncorrected is -0.671 eV per atom.

Lattice parameters (Å, degrees): 5.485 6.601 14.526 90.00 90.00 90.00
Fractional positions:
1 Si 0.696 0.447 0.937
2 Si 0.696 0.947 0.563
3 Si 0.804 0.447 0.437
4 Si 0.304 0.053 0.437
5 Si 0.804 0.947 0.063
6 Si 0.304 0.553 0.063
7 Si 0.196 0.553 0.563
8 Si 0.196 0.053 0.937
9 Pt 0.982 0.276 0.831
10 Pt 0.489 0.213 0.048
11 Pt 0.982 0.776 0.669
12 Pt 0.511 0.787 0.952
13 Pt 0.518 0.276 0.331
14 Pt 0.011 0.213 0.548
15 Pt 0.989 0.787 0.452
16 Pt 0.018 0.724 0.169
17 Pt 0.989 0.287 0.048
18 Pt 0.489 0.713 0.452
19 Pt 0.011 0.713 0.952
20 Pt 0.511 0.287 0.548
21 Pt 0.482 0.724 0.669
22 Pt 0.018 0.224 0.331
23 Pt 0.482 0.224 0.831
24 Pt 0.518 0.776 0.169
25 Ga 0.264 0.586 0.809
26 Ga 0.236 0.086 0.191
27 Ga 0.764 0.914 0.809
28 Ga 0.264 0.086 0.691
29 Ga 0.764 0.414 0.691
30 Ga 0.736 0.414 0.191
31 Ga 0.736 0.914 0.309
32 Ga 0.236 0.586 0.309

=====

Density functional theory data (PBE) for an optimized crystal structure of SiB2HRh4.

Summary:
As for the total energy: -6.607 eV per atom. The crystal system is monoclinic.

Lattice parameters (Å, degrees): 6.262 6.262 7.267 123.31 123.31 87.64
Fractional positions:
1 Rh 0.315 0.277 0.594
2 Rh 0.223 0.799 0.008
3 Rh 0.223 0.185 0.906
4 Rh 0.685 0.723 0.406
5 Rh 0.777 0.201 0.992
6 Rh 0.701 0.277 0.492
7 Rh 0.777 0.815 0.094
8 Rh 0.299 0.723 0.508
9 B 0.500 0.000 0.500
10 B 0.500 0.000 0.000
11 B 0.500 0.500 0.000
12 B 0.000 0.000 0.500
13 H 0.500 0.500 0.500
14 H 0.000 0.000 0.000
15 Si 0.000 0.500 0.000
16 Si 0.000 0.500 0.500

=====

Density functional theory data (PBE) for an optimized crystal structure of Zn3C.

Summary:
The crystal system is orthorhombic. For the formation energy, the calculation gives 0.80 eV per atom.

Lattice parameters (Å, degrees): 5.985 5.985 5.985 153.46 146.52 43.22
Fractional positions:
1 Zn 0.318 0.318 0.000
2 Zn 0.682 0.682 0.000
3 Zn 0.000 0.500 0.500
4 C 0.500 0.000 0.500

=====

Density functional theory data (PBE) for an optimized crystal structure of Pm3Nd3Pt2.

Summary:
The crystal system is orthorhombic. As for the energy above the lowest structure with this stoichiometry: 0.0 meV per atom. For the formation energy, the calculation gives -0.56 eV per atom.

Lattice parameters (Å, degrees): 4.983 6.732 15.507 90.00 90.00 111.73
Fractional positions:
1 Pm 0.354 0.708 0.250
2 Pm 0.649 0.297 0.479
3 Pm 0.351 0.703 0.979
4 Pm 0.351 0.703 0.521
5 Pm 0.646 0.292 0.750
6 Pm 0.649 0.297 0.021
7 Nd 0.351 0.702 0.750
8 Nd 0.038 0.077 0.881
9 Nd 0.649 0.298 0.250
10 Nd 0.038 0.077 0.619
11 Nd 0.962 0.923 0.381
12 Nd 0.962 0.923 0.119
13 Pt 0.806 0.612 0.883
14 Pt 0.194 0.388 0.117
15 Pt 0.194 0.388 0.383
16 Pt 0.806 0.612 0.617

=====

Density functional theory data (PBE) for an optimized crystal structure of Fe2Ir7Rh2.

Summary:
The crystal system is monoclinic. As for the energy above the lowest structure with this stoichiometry: 0.0 meV per atom. For the formation energy, the calculation gives 0.26 eV per atom.

Lattice parameters (Å, degrees): 4.946 6.144 6.144 97.56 107.47 107.47
Fractional positions:
1 Fe 0.535 0.337 0.337
2 Fe 0.465 0.663 0.663
3 Ir 0.033 0.333 0.333
4 Ir 0.299 0.576 0.070
5 Ir 0.967 0.667 0.667
6 Ir 0.500 0.000 0.000
7 Ir 0.701 0.424 0.930
8 Ir 0.299 0.070 0.576
9 Ir 0.701 0.930 0.424
10 Rh 0.000 0.138 0.862
11 Rh 0.000 0.862 0.138

=====

Density functional theory data (PBE) for an optimized crystal structure of Er2Ag2Sn3.

Summary:
The crystal system is monoclinic. For the formation energy, the calculation gives -0.31 eV per atom.

Lattice parameters (Å, degrees): 4.429 9.275 5.725 120.50 112.76 90.00
Fractional positions:
1 Ag 0.803 0.629 0.606
2 Ag 0.197 0.371 0.394
3 Sn 0.000 0.500 0.000
4 Sn 0.335 0.843 0.671
5 Sn 0.665 0.157 0.329
6 Er 0.592 0.777 0.184
7 Er 0.408 0.223 0.816

=====

Density functional theory data (PBE) for an optimized crystal structure of SrH4Br.

Summary:
As for the total energy: -3.408 eV per atom. The crystal system is triclinic.

Lattice parameters (Å, degrees): 8.379 17.412 7.578 19.51 33.39 31.80
Fractional positions:
1 Br 0.178 0.653 0.662
2 Br 0.822 0.347 0.338
3 H 0.230 0.595 0.141
4 H 0.291 0.962 0.396
5 H 0.177 0.496 0.443
6 H 0.823 0.504 0.557
7 H 0.436 0.052 0.425
8 H 0.564 0.948 0.575
9 H 0.770 0.405 0.859
10 H 0.709 0.038 0.604
11 Sr 0.151 0.126 0.871
12 Sr 0.849 0.874 0.129

=====

Density functional theory data (PBE) for an optimized crystal structure of ZnIn2P2.

Summary:
The crystal system is tetragonal. For the formation energy, the calculation gives 0.21 eV per atom.

Lattice parameters (Å, degrees): 7.332 7.332 3.916 90.00 90.00 90.00
Fractional positions:
1 In 0.141 0.641 0.500
2 In 0.859 0.359 0.500
3 In 0.641 0.859 0.500
4 In 0.359 0.141 0.500
5 Zn 0.500 0.500 0.000
6 Zn 0.000 0.000 0.000
7 P 0.188 0.312 0.000
8 P 0.688 0.188 0.000
9 P 0.812 0.688 0.000
10 P 0.312 0.812 0.000

=====

Density functional theory data (PBE) for an optimized crystal structure of Li5MgIn.

Summary:
The crystal system is tetragonal. As for the energy above the lowest structure with this stoichiometry: 10.1 meV per atom. For the formation energy, the calculation gives -0.06 eV per atom.

Lattice parameters (Å, degrees): 3.996 3.996 9.193 90.00 90.00 89.99
Fractional positions:
1 In 0.500 0.500 0.500
2 Mg 0.000 0.000 0.000
3 Li 0.500 0.000 0.258
4 Li 0.000 0.000 0.500
5 Li 0.000 0.500 0.742
6 Li 0.500 0.000 0.742
7 Li 0.000 0.500 0.258

=====

Density functional theory data (PBE) for an optimized crystal structure of Dy3BiH2.

Summary:
As for the total energy: -4.567 eV per atom. The crystal system is monoclinic.

Lattice parameters (Å, degrees): 3.977 6.207 11.445 107.83 100.00 90.00
Fractional positions:
1 H 0.941 0.816 0.883
2 H 0.292 0.603 0.585
3 H 0.059 0.184 0.117
4 H 0.708 0.397 0.415
5 Bi 0.651 0.888 0.301
6 Bi 0.349 0.112 0.699
7 Dy 0.770 0.747 0.540
8 Dy 0.400 0.656 0.799
9 Dy 0.961 0.198 0.922
10 Dy 0.230 0.253 0.460
11 Dy 0.600 0.344 0.201
12 Dy 0.039 0.802 0.078

=====

Density functional theory data (PBE) for an optimized crystal structure of LaTb3PrSc.

Summary:
The crystal system is orthorhombic. For the formation energy, the calculation gives 0.05 eV per atom.

Lattice parameters (Å, degrees): 5.063 7.962 10.120 90.00 90.00 108.54
Fractional positions:
1 Sc 0.170 0.340 0.250
2 Sc 0.830 0.660 0.750
3 Pr 0.000 0.000 0.500
4 Pr 0.000 0.000 0.000
5 La 0.498 0.996 0.750
6 La 0.502 0.004 0.250
7 Tb 0.330 0.660 0.500
8 Tb 0.330 0.660 0.000
9 Tb 0.670 0.340 0.000
10 Tb 0.670 0.340 0.500
11 Tb 0.172 0.344 0.750
12 Tb 0.828 0.656 0.250

=====

Density functional theory data (PBE) for an optimized crystal structure of TaPHO2.

Summary:
The crystal system is tetragonal. As for the energy above the lowest structure with this stoichiometry: 842.6 meV per atom.

Lattice parameters (Å, degrees): 3.927 3.927 3.001 90.00 90.00 90.00
Fractional positions:
1 H 0.000 0.000 0.000
2 O 0.000 0.500 0.000
3 O 0.500 0.000 0.000
4 Ta 0.500 0.500 0.500
5 P 0.000 0.000 0.500

=====

Density functional theory data (PBE) for an optimized crystal structure of KCrOs2.

Summary:
The crystal system is orthorhombic. As for the energy above the lowest structure with this stoichiometry: 393.0 meV per atom. For the formation energy, the calculation gives 1.09 eV per atom.

Lattice parameters (Å, degrees): 5.795 5.795 5.795 152.64 130.54 57.44
Fractional positions:
1 K 0.250 0.750 0.500
2 Os 0.966 0.966 0.000
3 Os 0.534 0.534 0.000
4 Cr 0.750 0.250 0.500

=====

Density functional theory data (PBE) for an optimized crystal structure of La5Nd2Tm3.

Summary:
The crystal system is monoclinic. For the formation energy, the calculation gives 0.16 eV per atom.

Lattice parameters (Å, degrees): 10.181 10.183 11.363 129.34 129.34 65.48
Fractional positions:
1 Nd 0.474 0.725 0.759
2 Nd 0.785 0.034 0.759
3 Nd 0.526 0.275 0.241
4 Nd 0.215 0.966 0.241
5 La 0.379 0.133 0.760
6 La 0.881 0.628 0.760
7 La 0.726 0.476 0.952
8 La 0.274 0.524 0.048
9 La 0.978 0.228 0.455
10 La 0.119 0.372 0.240
11 La 0.022 0.772 0.545
12 La 0.621 0.867 0.240
13 La 0.519 0.269 0.537
14 La 0.481 0.731 0.463
15 Tm 0.724 0.466 0.247
16 Tm 0.230 0.980 0.959
17 Tm 0.023 0.781 0.247
18 Tm 0.276 0.534 0.753
19 Tm 0.977 0.219 0.753
20 Tm 0.770 0.020 0.041

=====

no.,magnetization (μB/atom)
1,0.00
2,0.00
3,0.00
4,0.00
5,0.00
6,0.00
7,0.00
8,0.00
9,0.00
10,0.00
11,0.61
12,0.00
13,0.00
14,0.00
15,0.00
16,0.00
17,0.00
18,0.00
19,0.63
20,0.00